(1)
Entry from the Alexandria database: an optimized crystal structure of SnHgO2 (PBE-GGA).

Cell and atoms, written as CIF:
```
data_SnHgO2
_chemical_formula_sum 'Sn3 Hg3 O6'
_space_group_name_H-M_alt 'R -3 m'
_space_group_IT_number 166
_space_group_name_Hall '-R 3 2"'
_cell_length_a 3.3959
_cell_length_b 3.3959
_cell_length_c 20.1171
_cell_angle_alpha 90.00
_cell_angle_beta 90.00
_cell_angle_gamma 120.00
loop_
_atom_site_label
_atom_site_type_symbol
_atom_site_fract_x
_atom_site_fract_y
_atom_site_fract_z
Sn1 Sn 0.0000 0.0000 0.0000
Hg1 Hg 0.0000 0.0000 0.5000
O1 O 0.0000 0.0000 0.1014
```

Raw formation energy = -351 meV/atom
E = -3.9064 eV per atom
Energy above the most stable polymorph in this dataset = 0.7522 eV/atom


(2)
Entry from the Alexandria database: an optimized crystal structure of KBe2Cu (PBE-GGA).

Cell and atoms, written as CIF:
```
data_KBe2Cu
_chemical_formula_sum 'K1 Be2 Cu1'
_space_group_name_H-M_alt 'P 1 2/m 1'
_space_group_IT_number 10
_cell_length_a 2.534
_cell_length_b 3.944
_cell_length_c 6.971
_cell_angle_alpha 90.00
_cell_angle_beta 98.94
_cell_angle_gamma 90.00
loop_
_space_group_symop_operation_xyz
'x,y,z'
'-x,-y,-z'
'-x,y,-z'
'x,-y,z'
loop_
_atom_site_label
_atom_site_type_symbol
_atom_site_fract_x
_atom_site_fract_y
_atom_site_fract_z
K1 K 0.000 0.000 0.000
Be1 Be 0.261 0.500 0.631
Cu1 Cu 0.500 0.000 0.500
```

E = -2.5909 eV per atom
Energy above the most stable polymorph in this dataset = 0.3471 eV/atom


(3)
Entry from the Alexandria database: an optimized crystal structure of ErNiH8Ir2 (PBE-GGA).

Cell and atoms, written as CIF:
```
data_ErNiH8Ir2
_chemical_formula_sum 'Er3 Ni3 H24 Ir6'
_space_group_name_H-M_alt 'R -3'
_space_group_IT_number 148
_space_group_name_Hall '-R 3'
_cell_length_a 4.5545
_cell_length_b 4.5545
_cell_length_c 16.3890
_cell_angle_alpha 90.00
_cell_angle_beta 90.00
_cell_angle_gamma 120.00
loop_
_atom_site_label
_atom_site_type_symbol
_atom_site_fract_x
_atom_site_fract_y
_atom_site_fract_z
Er1 Er 0.0000 0.0000 0.0000
Ni1 Ni 0.0000 0.0000 0.5000
H1 H 0.0000 0.0000 0.3192
H2 H 0.0214 0.7163 0.5622
Ir1 Ir 0.0000 0.0000 0.2206
```

E = -4.7238 eV per atom


(4)
Entry from the Alexandria database: an optimized crystal structure of CeDy3Tl4 (PBE-GGA).

Cell and atoms, written as CIF:
```
data_CeDy3Tl4
_chemical_formula_sum 'Ce2 Dy6 Tl8'
_space_group_name_H-M_alt 'P m m a'
_space_group_IT_number 51
_cell_length_a 10.833
_cell_length_b 7.621
_cell_length_c 5.418
_cell_angle_alpha 90.00
_cell_angle_beta 90.00
_cell_angle_gamma 90.00
loop_
_space_group_symop_operation_xyz
'x,y,z'
'-x,-y,-z'
'-x+1/2,-y,z'
'x+1/2,y,-z'
'x+1/2,-y,-z'
'-x+1/2,y,z'
'-x,y,-z'
'x,-y,z'
loop_
_atom_site_label
_atom_site_type_symbol
_atom_site_fract_x
_atom_site_fract_y
_atom_site_fract_z
Ce1 Ce 0.000 0.000 0.000
Dy1 Dy 0.000 0.500 0.000
Dy2 Dy 0.250 0.000 0.497
Dy3 Dy 0.250 0.500 0.497
Tl1 Tl 0.000 0.257 0.500
Tl2 Tl 0.250 0.257 0.997
```

E = -3.9568 eV per atom


(5)
Entry from the Alexandria database: an optimized crystal structure of AgPPt5 (PBE-GGA).

Cell and atoms, written as CIF:
```
data_AgPPt5
_chemical_formula_sum 'Ag1 P1 Pt5'
_space_group_name_H-M_alt 'P 4/m m m'
_space_group_IT_number 123
_space_group_name_Hall '-P 4 2'
_cell_length_a 3.956
_cell_length_b 3.956
_cell_length_c 7.107
_cell_angle_alpha 90.00
_cell_angle_beta 90.00
_cell_angle_gamma 90.00
loop_
_atom_site_label
_atom_site_type_symbol
_atom_site_fract_x
_atom_site_fract_y
_atom_site_fract_z
Ag1 Ag 0.000 0.000 0.000
P1 P 0.500 0.500 0.500
Pt1 Pt 0.000 0.500 0.298
Pt2 Pt 0.500 0.500 0.000
```

E = -5.6871 eV per atom


(6)
Entry from the Alexandria database: an optimized crystal structure of ZrHgRh4 (PBE-GGA).

Cell and atoms, written as CIF:
```
data_ZrHgRh4
_chemical_formula_sum 'Zr4 Hg4 Rh16'
_space_group_name_H-M_alt 'F -4 3 m'
_space_group_IT_number 216
_space_group_name_Hall 'F -4 2 3'
_cell_length_a 7.370
_cell_length_b 7.370
_cell_length_c 7.370
_cell_angle_alpha 90.00
_cell_angle_beta 90.00
_cell_angle_gamma 90.00
loop_
_atom_site_label
_atom_site_type_symbol
_atom_site_fract_x
_atom_site_fract_y
_atom_site_fract_z
Zr1 Zr 0.000 0.000 0.000
Hg1 Hg 0.250 0.250 0.750
Rh1 Rh 0.125 0.125 0.375
```

E = -6.6802 eV per atom


(7)
Entry from the Alexandria database: an optimized crystal structure of OsBr3N (PBE-GGA).

Cell and atoms, written as CIF:
```
data_OsBr3N
_chemical_formula_sum 'Os1 Br3 N1'
_space_group_name_H-M_alt 'P m -3 m'
_space_group_IT_number 221
_space_group_name_Hall '-P 4 2 3'
_cell_length_a 4.664
_cell_length_b 4.664
_cell_length_c 4.664
_cell_angle_alpha 90.00
_cell_angle_beta 90.00
_cell_angle_gamma 90.00
loop_
_atom_site_label
_atom_site_type_symbol
_atom_site_fract_x
_atom_site_fract_y
_atom_site_fract_z
Os1 Os 0.000 0.000 0.000
Br1 Br 0.000 0.500 0.500
N1 N 0.500 0.500 0.500
```

Raw formation energy = 1988 meV/atom
E = -2.9267 eV per atom
Energy above the most stable polymorph in this dataset = 0.2005 eV/atom


(8)
Entry from the Alexandria database: an optimized crystal structure of LiSmLuAg (PBE-GGA).

Cell and atoms, written as CIF:
```
data_LiSmLuAg
_chemical_formula_sum 'Li4 Sm4 Lu4 Ag4'
_space_group_name_H-M_alt 'F -4 3 m'
_space_group_IT_number 216
_space_group_name_Hall 'F -4 2 3'
_cell_length_a 7.304
_cell_length_b 7.304
_cell_length_c 7.304
_cell_angle_alpha 90.00
_cell_angle_beta 90.00
_cell_angle_gamma 90.00
loop_
_atom_site_label
_atom_site_type_symbol
_atom_site_fract_x
_atom_site_fract_y
_atom_site_fract_z
Li1 Li 0.000 0.000 0.000
Sm1 Sm 0.250 0.250 0.250
Lu1 Lu 0.250 0.250 0.750
Ag1 Ag 0.000 0.000 0.500
```

E = -3.5912 eV per atom


Among the records above, which one has the highest E? KBe2Cu


The lowest E belongs to which entry? ZrHgRh4